No. 1
This record from Alexandria describes an optimized crystal structure of Ac2MgAl4Pd3. The functional is PBE.

POSCAR file:
```
Ac2MgAl4Pd3
1.0
4.416 0.000 0.000
0.000 4.416 0.000
0.000 0.000 11.168
Ac Mg Al Pd
2 1 4 3
direct
0.500 0.000 0.239
0.000 0.500 0.761
0.500 0.500 0.500
0.500 0.500 0.000
0.000 0.000 0.000
0.500 0.000 0.642
0.000 0.500 0.358
0.000 0.000 0.500
0.500 0.000 0.876
0.000 0.500 0.124
```

Properties
Space-group type   P-4m2 (115)
Theoretical density   6904 kg/m³



No. 2
This record from Alexandria describes an optimized crystal structure of AcMgAlPd2. The functional is PBE.

POSCAR file:
```
AcMgAlPd2
1.0
-1.101 -4.047 -0.971
2.801 0.022 -3.269
3.352 0.009 5.707
Ac Mg Al Pd
1 1 1 2
direct
0.000 0.000 0.000
0.250 0.750 0.500
0.750 0.250 0.500
0.620 0.620 0.241
0.380 0.380 0.759
```

Properties
Space-group type   I-4m2 (119)
Theoretical density   7488 kg/m³



No. 3
This record from Alexandria describes an optimized crystal structure of Ac3Mg2AlPd6. The functional is PBE.

POSCAR file:
```
Ac3Mg2AlPd6
1.0
5.989 0.000 0.000
-2.994 5.186 0.000
0.000 0.000 8.957
Ac Mg Al Pd
3 2 1 6
direct
0.333 0.667 0.628
0.667 0.333 0.372
0.000 0.000 0.000
0.667 0.333 0.956
0.333 0.667 0.044
0.000 0.000 0.500
0.657 0.828 0.291
0.172 0.343 0.291
0.172 0.828 0.291
0.828 0.657 0.709
0.343 0.172 0.709
0.828 0.172 0.709
```

Properties
Space-group type   P-3m1 (164)
Theoretical density   8328 kg/m³



No. 4
This record from Alexandria describes an optimized crystal structure of AcMgAlPd3. The functional is PBE.

POSCAR file:
```
AcMgAlPd3
1.0
6.034 0.000 0.000
0.000 6.957 0.000
0.000 -3.479 6.256
Ac Mg Al Pd
2 2 2 6
direct
0.750 0.293 0.586
0.250 0.707 0.414
0.250 0.976 0.953
0.750 0.024 0.047
0.250 0.384 0.769
0.750 0.616 0.231
0.250 0.188 0.376
0.000 0.298 0.000
0.500 0.702 0.000
0.500 0.298 0.000
0.000 0.702 0.000
0.750 0.812 0.624
```

Properties
Space-group type   Cmcm (63)
Theoretical density   7556 kg/m³



No. 5
This record from Alexandria describes an optimized crystal structure of AcMgAl2Pd4. The functional is PBE.

POSCAR file:
```
AcMgAl2Pd4
1.0
-3.320 -2.787 0.459
0.774 -4.154 1.070
-1.447 -0.141 9.375
Ac Mg Al Pd
1 1 2 4
direct
0.000 0.000 0.000
0.500 0.500 0.500
0.767 0.767 0.698
0.233 0.233 0.302
0.405 0.405 0.784
0.868 0.868 0.396
0.132 0.132 0.604
0.595 0.595 0.216
```

Properties
Space-group type   R-3m (166)
Theoretical density   8065 kg/m³



No. 6
This record from Alexandria describes an optimized crystal structure of AcMgAl2Pd5. The functional is PBE.

POSCAR file:
```
AcMgAl2Pd5
1.0
-4.236 -2.204 -0.225
2.176 -4.049 -1.312
0.656 -2.006 7.280
Ac Mg Al Pd
1 1 2 5
direct
0.000 0.000 0.500
0.000 0.000 0.000
0.500 0.500 0.170
0.500 0.500 0.830
0.000 0.500 0.212
0.500 0.000 0.212
0.000 0.500 0.788
0.500 0.000 0.788
0.500 0.500 0.500
```

Properties
Space-group type   P4/mmm (123)
Theoretical density   8028 kg/m³



no.,E (eV/atom)
1,-4.70
2,-4.71
3,-4.88
4,-4.75
5,-5.07
6,-4.95